No. 1
First-principles (PBE) data for a geometry-optimized Cs2LiHfRh structure, as listed in Alexandria via LeMat-Bulk.

* DFT total energy: -14.17 eV/cell
* formation energy: 6.75 eV per formula unit

Cell lengths 6.261, 6.261, 4.841 Å; angles 90.00, 90.00, 90.00 degrees
Element x y z (fractional)
Cs: 0.000 0.500 0.000
Cs: 0.500 0.000 0.000
Li: 0.000 0.000 0.500
Hf: 0.500 0.500 0.500
Rh: 0.000 0.000 0.000

***

No. 2
First-principles (PBE) data for a geometry-optimized LiTa2Se structure, as listed in Alexandria via LeMat-Bulk.

* DFT total energy: -28.45 eV/cell

Cell lengths 3.391, 4.404, 4.485 Å; angles 90.00, 90.00, 90.00 degrees
Element x y z (fractional)
Li: 0.000 0.000 0.000
Ta: 0.000 0.500 0.500
Ta: 0.500 0.000 0.500
Se: 0.500 0.500 0.000

***

No. 3
First-principles (PBE) data for a geometry-optimized LaTaHg structure, as listed in Alexandria via LeMat-Bulk.

* ΔE to the lowest computed polymorph: 0.143 eV per atom
* DFT total energy: -15.88 eV/cell
* formation energy: 1.20 eV per formula unit

Cell lengths 5.119, 5.119, 3.244 Å; angles 90.00, 90.00, 120.00 degrees
Element x y z (fractional)
La: 0.000 0.000 0.000
Ta: 0.667 0.333 0.500
Hg: 0.333 0.667 0.500

***

No. 4
First-principles (PBE) data for a geometry-optimized Li2H6Br structure, as listed in Alexandria via LeMat-Bulk.

* DFT total energy: -21.82 eV/cell

Cell lengths 4.786, 4.786, 4.786 Å; angles 60.00, 60.00, 60.00 degrees
Element x y z (fractional)
Li: 0.250 0.250 0.250
Li: 0.750 0.750 0.750
H: 0.141 0.141 0.859
H: 0.141 0.859 0.141
H: 0.141 0.859 0.859
H: 0.859 0.141 0.141
H: 0.859 0.141 0.859
H: 0.859 0.859 0.141
Br: 0.500 0.500 0.500

***

No. 5
First-principles (PBE) data for a geometry-optimized CeSbPb2 structure, as listed in Alexandria via LeMat-Bulk.

* ΔE to the lowest computed polymorph: 0.695 eV per atom
* DFT total energy: -16.47 eV/cell

Cell lengths 12.519, 12.519, 12.519 Å; angles 15.68, 15.68, 15.68 degrees
Element x y z (fractional)
Ce: 0.000 0.000 0.000
Sb: 0.500 0.500 0.500
Pb: 0.089 0.089 0.089
Pb: 0.911 0.911 0.911

***

No. 6
First-principles (PBE) data for a geometry-optimized La2SbF structure, as listed in Alexandria via LeMat-Bulk.

* ΔE to the lowest computed polymorph: 0.325 eV per atom
* DFT total energy: -22.13 eV/cell

Cell lengths 5.310, 5.310, 5.310 Å; angles 60.00, 60.00, 60.00 degrees
Element x y z (fractional)
La: 0.250 0.250 0.250
La: 0.750 0.750 0.750
Sb: 0.000 0.000 0.000
F: 0.500 0.500 0.500

***

No. 7
First-principles (PBE) data for a geometry-optimized LaTlAu2 structure, as listed in Alexandria via LeMat-Bulk.

* ΔE to the lowest computed polymorph: 0.102 eV per atom
* DFT total energy: -15.88 eV/cell
* formation energy: -2.03 eV per formula unit

Cell lengths 4.274, 4.546, 5.795 Å; angles 90.00, 111.42, 90.00 degrees
Element x y z (fractional)
La: 0.000 0.000 0.000
Tl: 0.724 0.500 0.446
Au: 0.284 0.000 0.565
Au: 0.447 0.500 0.893

***

No. 8
First-principles (PBE) data for a geometry-optimized La2AlCr structure, as listed in Alexandria via LeMat-Bulk.

* DFT total energy: -21.82 eV/cell
* formation energy: 1.40 eV per formula unit

Cell lengths 9.587, 9.587, 9.587 Å; angles 22.57, 22.57, 22.57 degrees
Element x y z (fractional)
La: 0.247 0.247 0.247
La: 0.753 0.753 0.753
Al: 0.000 0.000 0.000
Cr: 0.500 0.500 0.500

***

No. 9
First-principles (PBE) data for a geometry-optimized DyPu2NpSe4 structure, as listed in Alexandria via LeMat-Bulk.

* DFT total energy: -71.98 eV/cell

Cell lengths 7.123, 4.115, 7.152 Å; angles 90.00, 109.39, 90.00 degrees
Element x y z (fractional)
Dy: 0.000 0.000 0.000
Pu: 0.000 0.500 0.500
Pu: 0.500 0.000 0.500
Np: 0.500 0.500 0.000
Se: 0.248 0.500 0.247
Se: 0.250 0.000 0.752
Se: 0.750 0.000 0.248
Se: 0.752 0.500 0.753

***

No. 10
First-principles (PBE) data for a geometry-optimized Ac2NiSnPd6 structure, as listed in Alexandria via LeMat-Bulk.

* DFT total energy: -55.16 eV/cell
* formation energy: -6.01 eV per formula unit

Cell lengths 6.821, 6.821, 8.768 Å; angles 129.47, 129.47, 48.13 degrees
Element x y z (fractional)
Ac: 0.234 0.234 0.265
Ac: 0.766 0.766 0.735
Ni: 0.500 0.500 0.000
Sn: 0.000 0.000 0.500
Pd: 0.254 0.739 0.750
Pd: 0.255 0.255 0.910
Pd: 0.261 0.746 0.250
Pd: 0.739 0.254 0.750
Pd: 0.745 0.745 0.090
Pd: 0.746 0.261 0.250

***

No. 11
First-principles (PBE) data for a geometry-optimized Cd5Ag6Hg structure, as listed in Alexandria via LeMat-Bulk.

* ΔE to the lowest computed polymorph: 0.000 eV per atom
* DFT total energy: -22.36 eV/cell
* formation energy: -0.37 eV per formula unit

Cell lengths 8.055, 8.055, 4.310 Å; angles 105.50, 105.50, 109.32 degrees
Element x y z (fractional)
Cd: 0.000 0.000 0.000
Cd: 0.166 0.834 0.500
Cd: 0.334 0.666 0.000
Cd: 0.666 0.334 0.000
Cd: 0.834 0.166 0.500
Ag: 0.080 0.417 0.248
Ag: 0.247 0.247 0.746
Ag: 0.417 0.080 0.248
Ag: 0.583 0.920 0.752
Ag: 0.753 0.753 0.254
Ag: 0.920 0.583 0.752
Hg: 0.500 0.500 0.500

***

No. 12
First-principles (PBE) data for a geometry-optimized NpCuPt structure, as listed in Alexandria via LeMat-Bulk.

* ΔE to the lowest computed polymorph: 0.000 eV per atom
* DFT total energy: -23.86 eV/cell
* formation energy: -0.78 eV per formula unit

Cell lengths 4.622, 4.622, 2.907 Å; angles 90.00, 90.00, 120.00 degrees
Element x y z (fractional)
Np: 0.000 0.000 0.000
Cu: 0.667 0.333 0.500
Pt: 0.333 0.667 0.500

***

No. 13
First-principles (PBE) data for a geometry-optimized HoScInTc structure, as listed in Alexandria via LeMat-Bulk.

* DFT total energy: -24.86 eV/cell
* formation energy: -0.84 eV per formula unit

Cell lengths 4.923, 4.923, 4.923 Å; angles 60.00, 60.00, 60.00 degrees
Element x y z (fractional)
Ho: 0.000 0.000 0.000
Sc: 0.500 0.500 0.500
In: 0.250 0.250 0.250
Tc: 0.750 0.750 0.750

***

No. 14
First-principles (PBE) data for a geometry-optimized Th8ScBi6 structure, as listed in Alexandria via LeMat-Bulk.

* DFT total energy: -91.88 eV/cell
* formation energy: -2.90 eV per formula unit

Cell lengths 8.687, 8.687, 8.687 Å; angles 63.98, 63.98, 63.98 degrees
Element x y z (fractional)
Th: 0.024 0.740 0.405
Th: 0.165 0.165 0.165
Th: 0.260 0.595 0.976
Th: 0.405 0.024 0.740
Th: 0.595 0.976 0.260
Th: 0.740 0.405 0.024
Th: 0.835 0.835 0.835
Th: 0.976 0.260 0.595
Sc: 0.500 0.500 0.500
Bi: 0.136 0.429 0.752
Bi: 0.248 0.864 0.571
Bi: 0.429 0.752 0.136
Bi: 0.571 0.248 0.864
Bi: 0.752 0.136 0.429
Bi: 0.864 0.571 0.248